(1)
Computed, not measured: a relaxed Mn2OsW crystal at the GGA-PBE level of DFT.

abc: 2.686 3.678 5.399
angles: 90.00 90.00 90.00
Positions (direct):
Mn (0.000, 0.000, 0.240)
Mn (0.000, 0.000, 0.760)
Os (0.500, 0.500, 0.000)
W (0.500, 0.500, 0.500)

M_tot ... 0.53 μB per atom
Energy of formation ... 0.127 eV per atom
Crystal system ... orthorhombic
SG ... Pmmm (47)

=====

(2)
Computed, not measured: a relaxed Ti2VCrRe crystal at the GGA-PBE level of DFT.

abc: 4.353 4.353 4.536
angles: 90.00 90.00 90.00
Positions (direct):
Ti (0.000, 0.500, 0.000)
Ti (0.500, 0.000, 0.000)
V (0.000, 0.000, 0.000)
Cr (0.500, 0.500, 0.500)
Re (0.000, 0.000, 0.500)

M_tot ... 0.00 μB per atom
Energy of formation ... 1.238 eV per atom
Crystal system ... tetragonal
SG ... P4/mmm (123)

=====

(3)
Computed, not measured: a relaxed GdZrZnNi crystal at the GGA-PBE level of DFT.

abc: 4.799 4.799 4.799
angles: 60.00 60.00 60.00
Positions (direct):
Gd (0.000, 0.000, 0.000)
Zr (0.500, 0.500, 0.500)
Zn (0.750, 0.750, 0.750)
Ni (0.250, 0.250, 0.250)

M_tot ... 1.94 μB per atom
Energy of formation ... -0.201 eV per atom
Crystal system ... cubic
SG ... F-43m (216)

=====

(4)
Computed, not measured: a relaxed WAuCl crystal at the GGA-PBE level of DFT.

abc: 4.355 4.355 4.355
angles: 60.00 60.00 60.00
Positions (direct):
W (0.000, 0.000, 0.000)
Au (0.750, 0.750, 0.750)
Cl (0.250, 0.250, 0.250)

M_tot ... 0.00 μB per atom
Crystal system ... cubic
ΔE_f (raw) ... 1.00 eV per atom
Energy above the most stable polymorph in this dataset ... 0.751 eV per atom
SG ... F-43m (216)

=====

(5)
Computed, not measured: a relaxed TlCr2Os crystal at the GGA-PBE level of DFT.

abc: 4.486 4.486 4.486
angles: 60.00 60.00 60.00
Positions (direct):
Tl (0.000, 0.000, 0.000)
Cr (0.250, 0.250, 0.250)
Cr (0.500, 0.500, 0.500)
Os (0.750, 0.750, 0.750)

M_tot ... 1.25 μB per atom
Energy of formation ... 0.772 eV per atom
Crystal system ... cubic
Energy above the most stable polymorph in this dataset ... 0.289 eV per atom
SG ... F-43m (216)

=====

(6)
Computed, not measured: a relaxed Tb4NdTl4 crystal at the GGA-PBE level of DFT.

abc: 9.467 9.467 5.972
angles: 90.00 90.00 90.00
Positions (direct):
Tb (0.091, 0.828, 0.137)
Tb (0.172, 0.591, 0.637)
Tb (0.328, 0.909, 0.637)
Tb (0.409, 0.672, 0.137)
Tb (0.591, 0.328, 0.863)
Tb (0.672, 0.091, 0.363)
Tb (0.828, 0.409, 0.363)
Tb (0.909, 0.172, 0.863)
Nd (0.250, 0.250, 0.750)
Nd (0.750, 0.750, 0.250)
Tl (0.038, 0.145, 0.352)
Tl (0.145, 0.462, 0.148)
Tl (0.355, 0.038, 0.148)
Tl (0.462, 0.355, 0.352)
Tl (0.538, 0.645, 0.648)
Tl (0.645, 0.962, 0.852)
Tl (0.855, 0.538, 0.852)
Tl (0.962, 0.855, 0.648)

M_tot ... 0.00 μB per atom
Energy of formation ... -0.170 eV per atom
Crystal system ... tetragonal
SG ... P4_2/n (86)

=====

(7)
Computed, not measured: a relaxed Ca3Zn2Ga2 crystal at the GGA-PBE level of DFT.

abc: 5.880 8.192 13.943
angles: 90.00 90.00 90.00
Positions (direct):
Ca (0.125, 0.111, 0.105)
Ca (0.125, 0.111, 0.395)
Ca (0.125, 0.389, 0.605)
Ca (0.125, 0.389, 0.895)
Ca (0.354, 0.747, 0.750)
Ca (0.354, 0.753, 0.250)
Ca (0.646, 0.247, 0.750)
Ca (0.646, 0.253, 0.250)
Ca (0.875, 0.611, 0.105)
Ca (0.875, 0.611, 0.395)
Ca (0.875, 0.889, 0.605)
Ca (0.875, 0.889, 0.895)
Zn (0.377, 0.040, 0.590)
Zn (0.377, 0.040, 0.910)
Zn (0.377, 0.460, 0.090)
Zn (0.377, 0.460, 0.410)
Zn (0.623, 0.540, 0.590)
Zn (0.623, 0.540, 0.910)
Zn (0.623, 0.960, 0.090)
Zn (0.623, 0.960, 0.410)
Ga (0.155, 0.100, 0.750)
Ga (0.155, 0.400, 0.250)
Ga (0.355, 0.750, 0.000)
Ga (0.355, 0.750, 0.500)
Ga (0.645, 0.250, 0.000)
Ga (0.645, 0.250, 0.500)
Ga (0.845, 0.600, 0.750)
Ga (0.845, 0.900, 0.250)

M_tot ... 0.00 μB per atom
Energy of formation ... -0.369 eV per atom
Crystal system ... orthorhombic
SG ... Pbcm (57)

=====

(8)
Computed, not measured: a relaxed Mg11Cd9Ir4 crystal at the GGA-PBE level of DFT.

abc: 12.573 12.573 3.234
angles: 90.00 90.00 112.84
Positions (direct):
Mg (0.000, 0.000, 0.000)
Mg (0.072, 0.414, 0.000)
Mg (0.158, 0.842, 0.000)
Mg (0.309, 0.309, 0.000)
Mg (0.372, 0.628, 0.000)
Mg (0.414, 0.072, 0.000)
Mg (0.586, 0.928, 0.000)
Mg (0.628, 0.372, 0.000)
Mg (0.691, 0.691, 0.000)
Mg (0.842, 0.158, 0.000)
Mg (0.928, 0.586, 0.000)
Cd (0.072, 0.218, 0.500)
Cd (0.155, 0.629, 0.500)
Cd (0.218, 0.072, 0.500)
Cd (0.371, 0.845, 0.500)
Cd (0.500, 0.500, 0.500)
Cd (0.629, 0.155, 0.500)
Cd (0.782, 0.928, 0.500)
Cd (0.845, 0.371, 0.500)
Cd (0.928, 0.782, 0.500)
Ir (0.252, 0.450, 0.500)
Ir (0.450, 0.252, 0.500)
Ir (0.550, 0.748, 0.500)
Ir (0.748, 0.550, 0.500)

M_tot ... 0.00 μB per atom
Energy of formation ... -0.185 eV per atom
Crystal system ... orthorhombic
SG ... Cmmm (65)

=====

(9)
Computed, not measured: a relaxed Er5Th2Sc12 crystal at the GGA-PBE level of DFT.

abc: 8.679 8.679 7.996
angles: 91.42 91.42 60.51
Positions (direct):
Er (0.000, 0.000, 0.000)
Er (0.237, 0.237, 0.080)
Er (0.303, 0.303, 0.497)
Er (0.697, 0.697, 0.503)
Er (0.763, 0.763, 0.920)
Th (0.307, 0.693, 0.500)
Th (0.693, 0.307, 0.500)
Sc (0.023, 0.665, 0.250)
Sc (0.094, 0.094, 0.388)
Sc (0.183, 0.567, 0.850)
Sc (0.335, 0.977, 0.750)
Sc (0.433, 0.817, 0.150)
Sc (0.447, 0.447, 0.174)
Sc (0.553, 0.553, 0.826)
Sc (0.567, 0.183, 0.850)
Sc (0.665, 0.023, 0.250)
Sc (0.817, 0.433, 0.150)
Sc (0.906, 0.906, 0.612)
Sc (0.977, 0.335, 0.750)

M_tot ... 0.00 μB per atom
Energy of formation ... 0.158 eV per atom
Crystal system ... monoclinic
SG ... C2/m (12)

=====

(10)
Computed, not measured: a relaxed Ag3SbH crystal at the GGA-PBE level of DFT.

abc: 4.372 4.372 4.372
angles: 90.00 90.00 90.00
Positions (direct):
Ag (0.000, 0.000, 0.500)
Ag (0.000, 0.500, 0.000)
Ag (0.500, 0.000, 0.000)
Sb (0.500, 0.500, 0.500)
H (0.000, 0.000, 0.000)

M_tot ... 0.00 μB per atom
Crystal system ... cubic
Energy above the most stable polymorph in this dataset ... 0.000 eV per atom
SG ... Pm-3m (221)

=====

(11)
Computed, not measured: a relaxed NdEuInAg crystal at the GGA-PBE level of DFT.

abc: 5.449 5.449 5.449
angles: 60.00 60.00 60.00
Positions (direct):
Nd (0.000, 0.000, 0.000)
Eu (0.500, 0.500, 0.500)
In (0.750, 0.750, 0.750)
Ag (0.250, 0.250, 0.250)

M_tot ... 1.75 μB per atom
Energy of formation ... -0.358 eV per atom
Crystal system ... cubic
SG ... F-43m (216)

=====

(12)
Computed, not measured: a relaxed CaGa2P2 crystal at the GGA-PBE level of DFT.

abc: 3.866 3.866 16.534
angles: 90.00 90.00 120.00
Positions (direct):
Ca (0.000, 0.000, 0.000)
Ca (0.000, 0.000, 0.500)
Ga (0.333, 0.667, 0.175)
Ga (0.333, 0.667, 0.325)
Ga (0.667, 0.333, 0.675)
Ga (0.667, 0.333, 0.825)
P (0.333, 0.667, 0.615)
P (0.333, 0.667, 0.885)
P (0.667, 0.333, 0.115)
P (0.667, 0.333, 0.385)

M_tot ... 0.00 μB per atom
Energy of formation ... -0.678 eV per atom
Crystal system ... hexagonal
Energy above the most stable polymorph in this dataset ... 0.000 eV per atom
SG ... P6_3/mmc (194)